# 1
Entry from Alexandria via LeMat-Bulk: crystalline TiAsPSe2 at its relaxed geometry (PBE).

Total magnetic moment, Bohr magnetons per cell: 0.1
Volume, Å³ per atom: 21.30
Mass density, g cm⁻³: 4.860
Raw formation energy, meV/atom: 482
Fermi-level density of states, states/eV per cell: 5.760

CIF file:
```
data_TiAsPSe2
_cell_length_a 4.7964
_cell_length_b 4.7964
_cell_length_c 4.6291
_cell_angle_alpha 90.00
_cell_angle_beta 90.00
_cell_angle_gamma 90.00
_symmetry_space_group_name_H-M 'P 1'
_symmetry_Int_Tables_number 1
loop_
_symmetry_equiv_pos_as_xyz
'x,y,z'
loop_
_atom_site_label
_atom_site_type_symbol
_atom_site_fract_x
_atom_site_fract_y
_atom_site_fract_z
Ti1 Ti 0.0000 0.0000 0.0000
As1 As 0.5000 0.5000 0.0000
P1 P 0.5000 0.5000 0.5000
Se1 Se 0.0000 0.5000 0.5000
Se2 Se 0.5000 0.0000 0.5000
```

***

# 2
Entry from Alexandria via LeMat-Bulk: crystalline VH3Ru at its relaxed geometry (PBE).

Total magnetic moment, Bohr magnetons per cell: 1.7
E_tot, eV/atom: -5.34
Volume, Å³ per atom: 7.43
Mass density, g cm⁻³: 6.929
Fermi-level density of states, states/eV per cell: 2.276

CIF file:
```
data_VH3Ru
_cell_length_a 3.3368
_cell_length_b 3.3368
_cell_length_c 3.3368
_cell_angle_alpha 90.00
_cell_angle_beta 90.00
_cell_angle_gamma 90.00
_symmetry_space_group_name_H-M 'P 1'
_symmetry_Int_Tables_number 1
loop_
_symmetry_equiv_pos_as_xyz
'x,y,z'
loop_
_atom_site_label
_atom_site_type_symbol
_atom_site_fract_x
_atom_site_fract_y
_atom_site_fract_z
V1 V 0.0000 0.0000 0.0000
H1 H 0.0000 0.0000 0.5000
H2 H 0.0000 0.5000 0.0000
H3 H 0.5000 0.0000 0.0000
Ru1 Ru 0.5000 0.5000 0.5000
```

***

# 3
Entry from Alexandria via LeMat-Bulk: crystalline CdPt2Pb at its relaxed geometry (PBE).

Total magnetic moment, Bohr magnetons per cell: 0.0
Volume, Å³ per atom: 20.49
Formation energy from the elements, meV per atom: -179
Mass density, g cm⁻³: 14.380
Fermi-level density of states, states/eV per cell: 1.167

CIF file:
```
data_CdPt2Pb
_cell_length_a 3.6913
_cell_length_b 4.2183
_cell_length_c 5.5746
_cell_angle_alpha 90.00
_cell_angle_beta 109.22
_cell_angle_gamma 90.00
_symmetry_space_group_name_H-M 'P 1'
_symmetry_Int_Tables_number 1
loop_
_symmetry_equiv_pos_as_xyz
'x,y,z'
loop_
_atom_site_label
_atom_site_type_symbol
_atom_site_fract_x
_atom_site_fract_y
_atom_site_fract_z
Cd1 Cd 0.0000 0.0000 0.0000
Pt1 Pt 0.2749 0.0000 0.5506
Pt2 Pt 0.4409 0.5000 0.8808
Pb1 Pb 0.7031 0.5000 0.4061
```

***

# 4
Entry from Alexandria via LeMat-Bulk: crystalline Y2NbHS at its relaxed geometry (PBE).

Total magnetic moment, Bohr magnetons per cell: 0.0
E_tot, eV/atom: -6.06
Volume, Å³ per atom: 18.18
Mass density, g cm⁻³: 5.550
Fermi-level density of states, states/eV per cell: 4.874

CIF file:
```
data_Y2NbHS
_cell_length_a 4.3128
_cell_length_b 4.3128
_cell_length_c 4.8863
_cell_angle_alpha 90.00
_cell_angle_beta 90.00
_cell_angle_gamma 90.00
_symmetry_space_group_name_H-M 'P 1'
_symmetry_Int_Tables_number 1
loop_
_symmetry_equiv_pos_as_xyz
'x,y,z'
loop_
_atom_site_label
_atom_site_type_symbol
_atom_site_fract_x
_atom_site_fract_y
_atom_site_fract_z
Y1 Y 0.0000 0.5000 0.0000
Y2 Y 0.5000 0.0000 0.0000
Nb1 Nb 0.0000 0.0000 0.5000
H1 H 0.5000 0.5000 0.0000
S1 S 0.5000 0.5000 0.5000
```

***

# 5
Entry from Alexandria via LeMat-Bulk: crystalline RbNp2SiO8 at its relaxed geometry (PBE).

Total magnetic moment, Bohr magnetons per cell: 3.0
Volume, Å³ per atom: 15.83
Mass density, g cm⁻³: 6.255
Raw formation energy, meV/atom: -2469
Fermi-level density of states, states/eV per cell: 9.616

CIF file:
```
data_RbNp2SiO8
_cell_length_a 4.4209
_cell_length_b 4.4458
_cell_length_c 9.8530
_cell_angle_alpha 100.74
_cell_angle_beta 91.81
_cell_angle_gamma 92.34
_symmetry_space_group_name_H-M 'P 1'
_symmetry_Int_Tables_number 1
loop_
_symmetry_equiv_pos_as_xyz
'x,y,z'
loop_
_atom_site_label
_atom_site_type_symbol
_atom_site_fract_x
_atom_site_fract_y
_atom_site_fract_z
Rb1 Rb 0.0000 0.0000 0.0000
Np1 Np 0.4031 0.4626 0.6733
Np2 Np 0.5969 0.5374 0.3267
Si1 Si 0.0000 0.0000 0.5000
O1 O 0.1433 0.7227 0.3596
O2 O 0.2226 0.8983 0.6405
O3 O 0.2939 0.2790 0.4802
O4 O 0.4791 0.6172 0.8614
O5 O 0.5209 0.3828 0.1386
O6 O 0.7061 0.7210 0.5198
O7 O 0.7774 0.1017 0.3595
O8 O 0.8567 0.2773 0.6404
```

***

# 6
Entry from Alexandria via LeMat-Bulk: crystalline Zr2Ni2Te at its relaxed geometry (PBE).

Total magnetic moment, Bohr magnetons per cell: 0.0
Volume, Å³ per atom: 17.70
Mass density, g cm⁻³: 8.022
Raw formation energy, meV/atom: -488
Fermi-level density of states, states/eV per cell: 9.245

CIF file:
```
data_Zr2Ni2Te
_cell_length_a 6.8982
_cell_length_b 6.8982
_cell_length_c 3.7187
_cell_angle_alpha 90.00
_cell_angle_beta 90.00
_cell_angle_gamma 90.00
_symmetry_space_group_name_H-M 'P 1'
_symmetry_Int_Tables_number 1
loop_
_symmetry_equiv_pos_as_xyz
'x,y,z'
loop_
_atom_site_label
_atom_site_type_symbol
_atom_site_fract_x
_atom_site_fract_y
_atom_site_fract_z
Zr1 Zr 0.1668 0.3332 0.0000
Zr2 Zr 0.3332 0.8332 0.0000
Zr3 Zr 0.6668 0.1668 0.0000
Zr4 Zr 0.8332 0.6668 0.0000
Ni1 Ni 0.1240 0.6240 0.5000
Ni2 Ni 0.3760 0.1240 0.5000
Ni3 Ni 0.6240 0.8760 0.5000
Ni4 Ni 0.8760 0.3760 0.5000
Te1 Te 0.0000 0.0000 0.5000
Te2 Te 0.5000 0.5000 0.5000
```